# Pm2NdSmHo5

A relaxed structure of Pm2NdSmHo5 (PBE, Alexandria).

Calculated values
Its total energy is -4.40 eV/atom. The calculation puts the energy of formation from the pure elements at 2.31 eV per formula unit.

Lattice parameters (Å, degrees): 8.720 8.720 15.491 90.00 90.00 90.00
Space group I4/mcm (No. 140)
Symmetry-distinct sites (fractional):
Pm 0.117 0.383 0.000 [8 per cell]
Nd 0.000 0.000 0.250 [4 per cell]
Sm 0.000 0.500 0.250 [4 per cell]
Ho 0.000 0.000 0.000 [4 per cell]
Ho 0.209 0.291 0.363 [16 per cell]